Crystalline Rb2CrHBr6 at its relaxed geometry, computed with PBE.

Cell lengths 7.0160, 7.0160, 7.6960 Å; angles 62.88, 62.88, 90.00 degrees
Closest atoms and distances in Å follow each position.
Element x y z (fractional)
Cr1 0.0000 0.0000 0.0000  6 Br 2.51-2.57
Br1 0.2129 0.2129 0.5741  1 Cr 2.51
Br2 0.7871 0.7871 0.4259  1 Cr 2.51
Br3 0.2590 0.2590 0.0000  1 H 2.39, 1 Cr 2.57
Br4 0.7410 0.7410 0.0000  1 H 2.39, 1 Cr 2.57
Br5 0.7410 0.2590 0.0000  1 H 2.39, 1 Cr 2.57
Br6 0.2590 0.7410 0.0000  1 H 2.39, 1 Cr 2.57
Rb1 0.7500 0.2500 0.5000  12 Br 3.54-3.85
Rb2 0.2500 0.7500 0.5000  12 Br 3.54-3.85
H1 0.5000 0.5000 0.0000  4 Br 2.39

Results
* ρ: 4.0 Mg/m³
* uncorrected energy: -33.1 eV per formula unit